1.
# TcSeBr2N

Crystalline TcSeBr2N at its relaxed geometry (PBE, Alexandria).

Cell lengths 5.0592, 5.0592, 4.7195 Å; angles 90.00, 90.00, 90.00 degrees
With the nearest neighbours (Å) after each atom.
Space group P4/mmm (No. 123)
One atom of each set of equivalent atoms:
Tc  0.0000  0.0000  0.0000 x1  2 Se 2.36, 4 Br 2.53
Se  0.0000  0.0000  0.5000 x1  2 Tc 2.36
Br  0.0000  0.5000  0.0000 x2  2 Tc 2.53
N  0.5000  0.5000  0.5000 x1  8 Br 3.46, 4 Se 3.58

Output
Magnetization in μB/f.u.: 0.0
Energy above the lowest structure with this stoichiometry in eV/f.u.: 0.53
Formation energy (no corrections) in eV/f.u.: 7.6

=====

2.
# Fe2CoHg

Crystalline Fe2CoHg at its relaxed geometry (PBE, Alexandria).

Cell lengths 2.8210, 2.8210, 7.0631 Å; angles 90.00, 90.00, 90.00 degrees
With the nearest neighbours (Å) after each atom.
Space group P4/mmm (No. 123)
One atom of each set of equivalent atoms:
Fe  0.0000  0.0000  0.2047 x2  4 Co 2.46
Co  0.5000  0.5000  0.0000 x1  8 Fe 2.46
Hg  0.5000  0.5000  0.5000 x1  4 Hg 2.82, 8 Fe 2.89

Output
Magnetization in μB/f.u.: 7.0
DFT formation energy in meV per atom: 255

=====

3.
# K3Tb2NpSe6

Crystalline K3Tb2NpSe6 at its relaxed geometry (PBE, Alexandria).

Cell lengths 7.3749, 12.7536, 8.0623 Å; angles 90.00, 107.67, 90.00 degrees
With the nearest neighbours (Å) after each atom.
Space group C2/m (No. 12)
One atom of each set of equivalent atoms:
K  0.0000  0.0000  0.0000 x2  6 Se 3.31-3.34
K  0.0000  0.3331  0.0000 x4  6 Se 3.32-3.34
Tb  0.0000  0.1660  0.5000 x4  6 Se 2.91-2.92
Np  0.0000  0.5000  0.5000 x2  6 Se 2.94
Se  0.2325  0.0000  0.7068 x4  2 Tb 2.91, 1 Np 2.94
Se  0.2372  0.3320  0.7062 x8  2 Tb 2.91-2.92, 1 Np 2.94

Output
Magnetization in μB/f.u.: 4.0
Formation energy (no corrections) in eV/f.u.: -19.0

=====

4.
# Ti2GaBi2

Crystalline Ti2GaBi2 at its relaxed geometry (PBE, Alexandria).

Cell lengths 8.0650, 8.0650, 3.6278 Å; angles 90.00, 90.00, 90.00 degrees
With the nearest neighbours (Å) after each atom.
Space group P4/mbm (No. 127)
One atom of each set of equivalent atoms:
Ti  0.1268  0.3732  0.0000 x4  1 Ti 2.89, 6 Bi 2.95-3.04
Ga  0.0000  0.0000  0.5000 x2  4 Bi 3.03
Bi  0.1593  0.6593  0.5000 x4  6 Ti 2.95-3.04, 2 Ga 3.03

Output
Magnetization in μB/f.u.: 0.0
DFT formation energy in meV per atom: 149
Energy above the lowest structure with this stoichiometry in eV/f.u.: 1.16

=====

5.
# Tb6As3P2S

Crystalline Tb6As3P2S at its relaxed geometry (PBE, Alexandria).

Cell lengths 17.7212, 4.0709, 8.1422 Å; angles 90.00, 103.20, 90.00 degrees
With the nearest neighbours (Å) after each atom.
Space group C2/m (No. 12)
One atom of each set of equivalent atoms:
Tb  0.0018  0.0000  0.2516 x4  1 P 2.83, 3 As 2.87-2.89, 2 S 2.88
Tb  0.1669  0.5000  0.0886 x4  2 P 2.84, 1 S 2.88, 3 As 2.89-2.90
Tb  0.1685  0.5000  0.5793 x4  3 P 2.86, 3 As 2.91-2.92
As  0.0000  0.5000  0.5000 x2  6 Tb 2.87-2.91
As  0.1655  0.0000  0.8341 x4  6 Tb 2.89-2.92
P  0.1659  0.0000  0.3317 x4  6 Tb 2.83-2.86
S  0.0000  0.5000  0.0000 x2  6 Tb 2.88

Output
Magnetization in μB/f.u.: 0.0
Formation energy (no corrections) in eV/f.u.: -20.1

=====

6.
# Er2Sc3Co2

Crystalline Er2Sc3Co2 at its relaxed geometry (PBE, Alexandria).

Cell lengths 11.3282, 3.5257, 9.0222 Å; angles 90.00, 120.43, 90.00 degrees
With the nearest neighbours (Å) after each atom.
Space group C2/m (No. 12)
One atom of each set of equivalent atoms:
Er  0.0943  0.0000  0.3919 x4  1 Co 2.63
Sc  0.0000  0.5000  0.0000 x2  4 Co 2.66
Sc  0.2004  0.5000  0.7752 x4  3 Co 2.48-2.51
Co  0.1295  0.0000  0.9122 x4  5 Sc 2.48-2.66, 1 Er 2.63

Output
Magnetization in μB/f.u.: 0.0
DFT formation energy in meV per atom: -71
Energy above the lowest structure with this stoichiometry in eV/f.u.: 1.02